Density functional theory data (PBE with a Hubbard U) for a geometry-optimized MnPtN2O structure.

Structure (POSCAR):
```
MnPtN2O
1.0
3.891 0.000 0.000
0.000 3.891 0.000
0.000 0.000 3.443
Mn Pt N O
1 1 2 1
Direct
0.000 0.000 0.000
0.500 0.500 0.500
0.000 0.500 0.000
0.500 0.000 0.000
0.000 0.000 0.500
```

## Properties
The calculation puts the calculated total energy at -5.640 eV per atom. The value obtained for the density of states at the Fermi level is 0.880 states/eV per atom.